# 1
DFT (GGA-PBE) results for PtSeBr2 after structural relaxation.

Output
Volume in Å³/cell: 246.1
VASP energy in eV/atom: -3.1110
Formation energy (no corrections) in eV per atom: 0.107

Lattice parameters (Å, degrees): 5.3226 13.3213 3.4712 90.00 90.00 90.00
Last column: nearest neighbours and their distance in Å.
Space group Cmmm (No. 65)
Unique sites:
Pt 0.0000 0.0000 0.0000 x2  4 Br 2.51, 2 Se 2.66
Se 0.0000 0.5000 0.0000 x2  2 Pt 2.66
Br 0.0000 0.1360 0.5000 x4  2 Pt 2.51

# 2
DFT (GGA-PBE) results for PtSe3Br after structural relaxation.

Output
Volume in Å³/cell: 131.9
VASP energy in eV/atom: -2.1948
Formation energy (no corrections) in eV per atom: 1.439
Energy above the lowest structure with this stoichiometry in meV per atom: 919

Lattice parameters (Å, degrees): 5.0901 5.0901 5.0901 90.00 90.00 90.00
Last column: nearest neighbours and their distance in Å.
Space group Pm-3m (No. 221)
Unique sites:
Pt 0.0000 0.0000 0.0000 x1  12 Se 3.60
Se 0.0000 0.5000 0.5000 x3  2 Br 2.55
Br 0.5000 0.5000 0.5000 x1  6 Se 2.55

# 3
DFT (GGA-PBE) results for PtSeBr2 after structural relaxation.

Output
Volume in Å³/cell: 219.0
VASP energy in eV/atom: -2.9070
Formation energy (no corrections) in eV per atom: 0.311

Lattice parameters (Å, degrees): 3.1740 4.7731 14.4582 90.00 90.00 90.00
Last column: nearest neighbours and their distance in Å.
Space group Immm (No. 71)
Unique sites:
Pt 0.0000 0.0000 0.0000 x2  4 Br 2.64, 4 Se 2.87
Se 0.0000 0.0000 0.5000 x2  4 Pt 2.87, 2 Se 3.17, 4 Br 3.19
Br 0.0000 0.5000 0.3541 x4  2 Pt 2.64

# 4
DFT (GGA-PBE) results for PtSe2Br after structural relaxation.

Output
Volume in Å³/cell: 192.4
VASP energy in eV/atom: -3.4528
Formation energy (no corrections) in eV per atom: 0.218
Energy above the lowest structure with this stoichiometry in meV per atom: 501

Lattice parameters (Å, degrees): 3.6355 4.9405 10.7113 90.00 90.00 90.00
Last column: nearest neighbours and their distance in Å.
Space group Cmmm (No. 65)
Unique sites:
Pt 0.0000 0.0000 0.0000 x2  4 Se 2.57
Se 0.0000 0.5000 0.1696 x4  2 Pt 2.57
Br 0.0000 0.0000 0.5000 x2  4 Br 3.07

# 5
DFT (GGA-PBE) results for PtSe2Br after structural relaxation.

Output
Volume in Å³/cell: 278.5
VASP energy in eV/atom: -3.5381
Formation energy (no corrections) in eV per atom: 0.133
Energy above the lowest structure with this stoichiometry in meV per atom: 416

Lattice parameters (Å, degrees): 2.9407 2.9407 37.1851 90.00 90.00 120.00
Last column: nearest neighbours and their distance in Å.
Space group R-3m (No. 166, hexagonal axes)
Unique sites:
Pt 0.0000 0.0000 0.0000 x3  2 Se 2.42
Se 0.0000 0.0000 0.0652 x6  1 Pt 2.42
Br 0.0000 0.0000 0.5000 x3  6 Br 2.94

# 6
DFT (GGA-PBE) results for PtSeBr2 after structural relaxation.

Output
Volume in Å³/cell: 116.8
VASP energy in eV/atom: -2.6811
Formation energy (no corrections) in eV per atom: 0.537

Lattice parameters (Å, degrees): 3.6763 3.8305 8.2938 90.00 90.00 90.00
Last column: nearest neighbours and their distance in Å.
Space group Pmmm (No. 47)
Unique sites:
Pt 0.0000 0.0000 0.0000 x1  4 Br 2.65
Se 0.5000 0.0000 0.5000 x1  4 Br 2.65
Br 0.0000 0.5000 0.5000 x1  4 Se 2.65
Br 0.5000 0.5000 0.0000 x1  4 Pt 2.65

# 7
DFT (GGA-PBE) results for PtSeBr2 after structural relaxation.

Output
Volume in Å³/cell: 293.7
VASP energy in eV/atom: -2.8175
Formation energy (no corrections) in eV per atom: 0.400

Lattice parameters (Å, degrees): 3.0536 3.0536 36.3716 90.00 90.00 120.00
Last column: nearest neighbours and their distance in Å.
Space group R-3m (No. 166, hexagonal axes)
Unique sites:
Pt 0.0000 0.0000 0.0000 x3  2 Br 2.40
Se 0.0000 0.0000 0.5000 x3  6 Se 3.05
Br 0.0000 0.0000 0.0660 x6  1 Pt 2.40

# 8
DFT (GGA-PBE) results for PtSeBr3 after structural relaxation.

Output
Volume in Å³/cell: 804.3
VASP energy in eV/atom: -3.0803
Formation energy (no corrections) in eV per atom: -0.172
Energy above the lowest structure with this stoichiometry in meV per atom: 0

Lattice parameters (Å, degrees): 7.4023 8.4115 12.9183 90.00 90.11 90.00
Last column: nearest neighbours and their distance in Å.
Space group P2/c (No. 13)
Unique sites:
Pt 0.0622 0.1320 0.1153 x4  5 Br 2.45-2.73, 1 Se 2.52
Se 0.0260 0.4117 0.3357 x4  1 Se 2.25
Br 0.1073 0.1738 0.5492 x4  2 Pt 2.49-2.73
Br 0.2209 0.0561 0.2811 x4  2 Pt 2.52-2.57
Br 0.3430 0.2181 0.0326 x4  1 Pt 2.45